# 1
Compound: Tb3ErN4
Source: Alexandria
Functional: PBE
Structure: relaxed

Cell lengths 4.923, 4.923, 4.923 Å; angles 90.00, 90.00, 90.00 degrees
Positions (direct):
Tb (0.000, 0.000, 0.500)
Tb (0.000, 0.500, 0.000)
Tb (0.500, 0.000, 0.000)
Er (0.500, 0.500, 0.500)
N (0.000, 0.000, 0.000)
N (0.000, 0.500, 0.500)
N (0.500, 0.000, 0.500)
N (0.500, 0.500, 0.000)



# 2
Compound: TbErN
Source: Alexandria
Functional: PBE
Structure: relaxed

Cell lengths 6.332, 6.332, 6.332 Å; angles 151.72, 151.72, 40.42 degrees
Positions (direct):
Tb (0.000, 0.000, 0.000)
Er (0.761, 0.761, 0.000)
N (0.361, 0.361, 0.000)



# 3
Compound: TbEr2N
Source: Alexandria
Functional: PBE
Structure: relaxed

Cell lengths 9.125, 9.125, 9.125 Å; angles 21.79, 21.79, 21.79 degrees
Positions (direct):
Tb (0.000, 0.000, 0.000)
Er (0.217, 0.217, 0.217)
Er (0.783, 0.783, 0.783)
N (0.500, 0.500, 0.500)



# 4
Compound: TbErN
Source: Alexandria
Functional: PBE
Structure: relaxed

Cell lengths 4.231, 4.231, 4.231 Å; angles 60.00, 60.00, 60.00 degrees
Positions (direct):
Tb (0.000, 0.000, 0.000)
Er (0.500, 0.500, 0.500)
N (0.750, 0.750, 0.750)



# 5
Compound: TbEr2TcN4
Source: Alexandria
Functional: PBE
Structure: relaxed

Cell lengths 6.006, 6.006, 11.493 Å; angles 90.00, 90.00, 147.16 degrees
Positions (direct):
Tb (0.131, 0.869, 0.750)
Tb (0.869, 0.131, 0.250)
Er (0.368, 0.632, 0.539)
Er (0.368, 0.632, 0.961)
Er (0.632, 0.368, 0.039)
Er (0.632, 0.368, 0.461)
Tc (0.133, 0.867, 0.250)
Tc (0.867, 0.133, 0.750)
N (0.000, 0.000, 0.000)
N (0.000, 0.000, 0.500)
N (0.263, 0.737, 0.129)
N (0.263, 0.737, 0.371)
N (0.451, 0.549, 0.750)
N (0.549, 0.451, 0.250)
N (0.737, 0.263, 0.629)
N (0.737, 0.263, 0.871)



# 6
Compound: Tb2ErThN4
Source: Alexandria
Functional: PBE
Structure: relaxed

Cell lengths 6.101, 3.536, 6.104 Å; angles 90.00, 109.32, 90.00 degrees
Positions (direct):
Tb (0.000, 0.000, 0.000)
Tb (0.500, 0.500, 0.000)
Er (0.000, 0.500, 0.500)
Th (0.500, 0.000, 0.500)
N (0.247, 0.000, 0.746)
N (0.247, 0.500, 0.251)
N (0.753, 0.000, 0.254)
N (0.753, 0.500, 0.749)



# 7
Compound: TbErTh2N4
Source: Alexandria
Functional: PBE
Structure: relaxed

Cell lengths 6.163, 3.576, 6.190 Å; angles 90.00, 109.55, 90.00 degrees
Positions (direct):
Tb (0.000, 0.000, 0.000)
Er (0.000, 0.500, 0.500)
Th (0.500, 0.000, 0.500)
Th (0.500, 0.500, 0.000)
N (0.244, 0.000, 0.745)
N (0.246, 0.500, 0.251)
N (0.754, 0.500, 0.749)
N (0.756, 0.000, 0.255)



# 8
Compound: Tb2ErTlN
Source: Alexandria
Functional: PBE
Structure: relaxed

Cell lengths 4.850, 4.850, 4.769 Å; angles 90.00, 90.00, 90.00 degrees
Positions (direct):
Tb (0.000, 0.500, 0.000)
Tb (0.500, 0.000, 0.000)
Er (0.000, 0.000, 0.500)
Tl (0.500, 0.500, 0.500)
N (0.000, 0.000, 0.000)



# 9
Compound: TbErTm2N4
Source: Alexandria
Functional: PBE
Structure: relaxed

Cell lengths 5.946, 3.434, 5.946 Å; angles 90.00, 109.45, 90.00 degrees
Positions (direct):
Tb (0.000, 0.000, 0.000)
Er (0.500, 0.500, 0.000)
Tm (0.000, 0.500, 0.500)
Tm (0.500, 0.000, 0.500)
N (0.251, 0.000, 0.747)
N (0.253, 0.500, 0.254)
N (0.747, 0.500, 0.746)
N (0.749, 0.000, 0.253)



# 10
Compound: TbErTmN3
Source: Alexandria
Functional: PBE
Structure: relaxed

Cell lengths 5.920, 3.412, 8.909 Å; angles 90.00, 101.31, 90.00 degrees
Positions (direct):
Tb (0.157, 0.250, 0.198)
Tb (0.843, 0.750, 0.802)
Er (0.269, 0.750, 0.545)
Er (0.731, 0.250, 0.455)
Tm (0.348, 0.250, 0.862)
Tm (0.652, 0.750, 0.138)
N (0.037, 0.250, 0.670)
N (0.252, 0.750, 0.998)
N (0.464, 0.750, 0.344)
N (0.536, 0.250, 0.656)
N (0.748, 0.250, 0.002)
N (0.963, 0.750, 0.330)



# 11
Compound: TbEr2UN4
Source: Alexandria
Functional: PBE
Structure: relaxed

Cell lengths 5.950, 3.443, 5.962 Å; angles 90.00, 109.03, 90.00 degrees
Positions (direct):
Tb (0.000, 0.000, 0.000)
Er (0.500, 0.000, 0.500)
Er (0.500, 0.500, 0.000)
U (0.000, 0.500, 0.500)
N (0.243, 0.500, 0.265)
N (0.246, 0.000, 0.742)
N (0.754, 0.000, 0.258)
N (0.757, 0.500, 0.735)



# 12
Compound: Tb3Er2UN6
Source: Alexandria
Functional: PBE
Structure: relaxed

Cell lengths 5.977, 5.977, 5.992 Å; angles 99.56, 99.56, 119.98 degrees
Positions (direct):
Tb (0.000, 0.000, 0.000)
Tb (0.332, 0.668, 0.000)
Tb (0.668, 0.332, 0.000)
Er (0.166, 0.834, 0.500)
Er (0.834, 0.166, 0.500)
U (0.500, 0.500, 0.500)
N (0.104, 0.421, 0.264)
N (0.261, 0.261, 0.734)
N (0.421, 0.104, 0.264)
N (0.579, 0.896, 0.736)
N (0.739, 0.739, 0.266)
N (0.896, 0.579, 0.736)



ΔE_f (raw): -1303 -122 -313 -91 -871 -1290 -1252 -452 -1367 -880 -1266 -1950 (kJ/mol of formula units)